# BaBeIr2

An optimized crystal structure of BaBeIr2 (PBE, Alexandria via LeMat-Bulk).

Cell and atoms, written as extended XYZ:
```
4
Lattice="4.952 -1.574 0.000 4.952 1.574 0.000 -2.073 0.000 5.463" Properties=species:S:1:pos:R:3 pbc="T T T"
Ba 0.000 0.000 0.000
Be 0.513 0.000 3.196
Ir 3.943 0.000 2.662
Ir 6.774 0.000 2.359
```

The magnetic moment comes out at 0.00 μB per atom. The energy is -23.2 eV per cell. The value obtained for the calculated volume is 85.2 Å³/f.u. As for the space-group type: Cm. The calculation puts the energy of formation at 0.0376 eV/atom.

# BaBe2Ir

An optimized crystal structure of BaBe2Ir (PBE, Alexandria via LeMat-Bulk).

Cell and atoms, written as extended XYZ:
```
8
Lattice="-2.433 2.433 7.393 2.433 -2.433 7.393 2.433 2.433 -7.393" Properties=species:S:1:pos:R:3 pbc="T T T"
Ba 2.433 1.216 1.848
Ba 0.000 1.216 5.544
Be 0.000 0.000 0.000
Be 1.216 1.216 -3.696
Be 1.216 -1.216 3.696
Be 0.000 2.433 0.000
Ir 2.433 -1.216 5.544
Ir 0.000 3.649 1.848
```

The magnetic moment comes out at 0.00 μB per atom. The energy is -36.6 eV per cell. The value obtained for the calculated volume is 87.5 Å³/f.u. As for the space-group type: I4_1/amd. As for the energy relative to the lowest polymorph listed for this composition: 217 meV per atom. The calculation puts the energy of formation at -0.0151 eV/atom.

# BaBeIr2

An optimized crystal structure of BaBeIr2 (PBE, Alexandria via LeMat-Bulk).

Cell and atoms, written as extended XYZ:
```
8
Lattice="-2.462 2.462 7.841 2.462 -2.462 7.841 2.462 2.462 -7.841" Properties=species:S:1:pos:R:3 pbc="T T T"
Ba 2.462 1.231 1.960
Ba 0.000 1.231 5.881
Be 2.462 -1.231 5.881
Be 0.000 3.693 1.960
Ir 0.000 0.000 0.000
Ir 1.231 1.231 -3.920
Ir 1.231 -1.231 3.920
Ir 0.000 2.462 0.000
```

The magnetic moment comes out at 0.00 μB per atom. The energy is -46.9 eV per cell. The value obtained for the calculated volume is 95.0 Å³/f.u. As for the space-group type: I4_1/amd. The calculation puts the energy of formation at -0.0148 eV/atom.

# BaBe2Ir

An optimized crystal structure of BaBe2Ir (PBE, Alexandria via LeMat-Bulk).

Cell and atoms, written as extended XYZ:
```
4
Lattice="-2.193 2.193 3.701 2.193 -2.193 3.701 2.193 2.193 -3.701" Properties=species:S:1:pos:R:3 pbc="T T T"
Ba 0.000 0.000 0.000
Be 2.193 0.000 1.851
Be 0.000 2.193 1.851
Ir 0.000 0.000 3.701
```

The magnetic moment comes out at 0.00 μB per atom. The energy is -15.5 eV per cell. The value obtained for the calculated volume is 71.2 Å³/f.u. As for the space-group type: I4/mmm. As for the energy relative to the lowest polymorph listed for this composition: 923 meV per atom. The calculation puts the energy of formation at 0.6910 eV/atom.

# Ba2BeIr

An optimized crystal structure of Ba2BeIr (PBE, Alexandria via LeMat-Bulk).

Cell and atoms, written as extended XYZ:
```
4
Lattice="0.000 3.705 3.705 3.705 0.000 3.705 3.705 3.705 0.000" Properties=species:S:1:pos:R:3 pbc="T T T"
Ba 0.000 0.000 0.000
Ba 1.853 1.853 1.853
Be 3.705 3.705 3.705
Ir 5.558 5.558 5.558
```

The magnetic moment comes out at 0.00 μB per atom. The energy is -14.1 eV per cell. The value obtained for the calculated volume is 101.7 Å³/f.u. As for the space-group type: F-43m. The calculation puts the energy of formation at 0.5869 eV/atom.

# Ba2BeIr

An optimized crystal structure of Ba2BeIr (PBE, Alexandria via LeMat-Bulk).

Cell and atoms, written as extended XYZ:
```
4
Lattice="3.421 0.000 0.000 0.000 3.421 0.000 0.000 0.000 9.475" Properties=species:S:1:pos:R:3 pbc="T T T"
Ba 0.000 0.000 0.000
Ba 1.710 1.710 4.040
Be 0.000 0.000 6.520
Ir 1.710 1.710 6.936
```

The magnetic moment comes out at 0.03 μB per atom. The energy is -15.8 eV per cell. The value obtained for the calculated volume is 110.9 Å³/f.u. As for the space-group type: P4mm. The calculation puts the energy of formation at 0.1657 eV/atom.